VASP calculation (GGA-PBE) on Be2Nb2AlRh5 after structural relaxation.

Lattice parameters (Å, degrees): 9.521 9.521 2.959 90.00 90.00 90.00
Space group P4/mbm (No. 127)
Asymmetric unit:
Be1 0.124 0.376 0.000 x4
Nb1 0.177 0.677 0.000 x4
Al1 0.000 0.000 0.000 x2
Rh1 0.000 0.500 0.500 x2
Rh2 0.065 0.208 0.500 x8

Results
**Energy of formation**: -6.80 eV/f.u.
**Energy**: -7.489 eV per atom
**Volume**: 268.21 Å³ per cell